DFT (PBE-GGA) results for a geometry-optimized Pr2ZrP3Rh12 structure. Values from VASP.

Summary:
The energy of formation comes out at -294.0 meV per atom. The space-group type is No. 166.

```
&SYSTEM
  ibrav = 0, nat = 18, ntyp = 4
/
ATOMIC_SPECIES
Rh 102.91 Rh.upf
Zr 91.22 Zr.upf
P 30.97 P.upf
Pr 140.91 Pr.upf
ATOMIC_POSITIONS crystal
Rh 0.675 0.675 0.089
Rh 0.325 0.325 0.911
Rh 0.370 0.848 0.848
Rh 0.630 0.152 0.152
Rh 0.152 0.152 0.630
Rh 0.089 0.675 0.675
Rh 0.152 0.630 0.152
Rh 0.848 0.370 0.848
Rh 0.325 0.911 0.325
Rh 0.848 0.848 0.370
Rh 0.675 0.089 0.675
Rh 0.911 0.325 0.325
Zr 0.000 0.000 0.000
P 0.500 0.000 0.000
P 0.000 0.500 0.000
P 0.000 0.000 0.500
Pr 0.395 0.395 0.395
Pr 0.605 0.605 0.605
CELL_PARAMETERS angstrom
6.994 -0.881 -0.625
2.688 6.517 -0.625
2.688 1.565 6.357
```

DFT (PBE-GGA) results for a geometry-optimized PrZrP2Rh5 structure. Values from VASP.

Summary:
The energy of formation comes out at -774.1 meV per atom. The space-group type is No. 123.

```
&SYSTEM
  ibrav = 0, nat = 9, ntyp = 4
/
ATOMIC_SPECIES
Pr 140.91 Pr.upf
P 30.97 P.upf
Rh 102.91 Rh.upf
Zr 91.22 Zr.upf
ATOMIC_POSITIONS crystal
Pr 0.000 0.000 0.500
P 0.500 0.500 0.280
P 0.500 0.500 0.720
Rh 0.500 0.000 0.181
Rh 0.000 0.500 0.819
Rh 0.500 0.500 0.500
Rh 0.000 0.500 0.181
Rh 0.500 0.000 0.819
Zr 0.000 0.000 0.000
CELL_PARAMETERS angstrom
4.065 0.000 0.000
0.000 4.065 0.000
0.000 0.000 10.338
```

DFT (PBE-GGA) results for a geometry-optimized PrP4Ru4 structure. Values from VASP.

Summary:
The energy of formation comes out at -647.8 meV per atom. The space-group type is No. 137.

```
&SYSTEM
  ibrav = 0, nat = 18, ntyp = 3
/
ATOMIC_SPECIES
Pr 140.91 Pr.upf
P 30.97 P.upf
Ru 101.07 Ru.upf
ATOMIC_POSITIONS crystal
Pr 0.500 0.500 0.500
Pr 0.000 0.000 0.000
P 0.291 0.000 0.323
P 0.500 0.209 0.823
P 0.791 0.500 0.177
P 0.000 0.291 0.677
P 0.709 0.000 0.323
P 0.209 0.500 0.177
P 0.000 0.709 0.677
P 0.500 0.791 0.823
Ru 0.500 0.771 0.124
Ru 0.000 0.729 0.376
Ru 0.771 0.500 0.876
Ru 0.271 0.000 0.624
Ru 0.000 0.271 0.376
Ru 0.729 0.000 0.624
Ru 0.229 0.500 0.876
Ru 0.500 0.229 0.124
CELL_PARAMETERS angstrom
5.982 0.000 0.000
0.000 5.982 0.000
0.000 0.000 7.771
```

DFT (PBE-GGA) results for a geometry-optimized PrP3Ru5 structure. Values from VASP.

Summary:
The energy of formation comes out at -588.8 meV per atom. The space-group type is No. 63.

```
&SYSTEM
  ibrav = 0, nat = 18, ntyp = 3
/
ATOMIC_SPECIES
Ru 101.07 Ru.upf
Pr 140.91 Pr.upf
P 30.97 P.upf
ATOMIC_POSITIONS crystal
Ru 0.443 0.887 0.353
Ru 0.000 0.000 0.500
Ru 0.557 0.113 0.853
Ru 0.205 0.411 0.926
Ru 0.557 0.113 0.647
Ru 0.205 0.411 0.574
Ru 0.443 0.887 0.147
Ru 0.795 0.589 0.074
Ru 0.795 0.589 0.426
Ru 0.000 0.000 0.000
Pr 0.840 0.680 0.750
Pr 0.160 0.320 0.250
P 0.613 0.227 0.043
P 0.613 0.227 0.457
P 0.871 0.741 0.250
P 0.129 0.259 0.750
P 0.387 0.773 0.957
P 0.387 0.773 0.543
CELL_PARAMETERS angstrom
3.911 0.000 0.000
-1.956 6.100 0.000
0.000 0.000 12.029
```